Here is a relaxed structure of CePmPb2 from the Alexandria database. Energies are from PBE. Values from VASP.

Values from the calculation:
The value obtained for the energy of formation is -457 meV per atom. The crystal system is monoclinic.

```
&SYSTEM
  ibrav = 0, nat = 4, ntyp = 3
/
ATOMIC_SPECIES
Ce 140.12 Ce.upf
Pm 145.00 Pm.upf
Pb 207.20 Pb.upf
CELL_PARAMETERS angstrom
4.6494 0.0000 0.0000
0.0000 4.5497 0.0000
-2.3191 0.0000 5.9839
ATOMIC_POSITIONS angstrom
Ce 0.0000 0.0000 0.0000
Pm -0.0024 2.2748 3.1405
Pb 2.3251 2.2748 0.4082
Pb 2.3220 0.0000 2.7510
```

***

Here is a relaxed structure of RbCd2CuSn from the Alexandria database. Energies are from PBE. Values from VASP.

Values from the calculation:
The value obtained for the energy of formation is 1103 meV per atom. The crystal system is tetragonal.

```
&SYSTEM
  ibrav = 0, nat = 5, ntyp = 4
/
ATOMIC_SPECIES
Rb 85.47 Rb.upf
Cd 112.41 Cd.upf
Cu 63.55 Cu.upf
Sn 118.71 Sn.upf
CELL_PARAMETERS angstrom
6.2225 0.0000 0.0000
0.0000 6.2225 0.0000
0.0000 0.0000 5.4603
ATOMIC_POSITIONS angstrom
Rb 0.0000 0.0000 0.0000
Cd 0.0000 3.1113 0.0000
Cd 3.1113 0.0000 0.0000
Cu 0.0000 0.0000 2.7301
Sn 3.1113 3.1113 2.7301
```

***

Here is a relaxed structure of Rb2Tl3Ag from the Alexandria database. Energies are from PBE. Values from VASP.

Values from the calculation:
The value obtained for the energy of formation is -19 meV per atom. The crystal system is monoclinic.

```
&SYSTEM
  ibrav = 0, nat = 6, ntyp = 3
/
ATOMIC_SPECIES
Rb 85.47 Rb.upf
Tl 204.38 Tl.upf
Ag 107.87 Ag.upf
CELL_PARAMETERS angstrom
5.7405 -3.3186 0.0000
5.7405 3.3186 0.0000
-3.8939 0.0000 5.4834
ATOMIC_POSITIONS angstrom
Rb -0.0088 0.0000 2.0571
Rb 7.5960 0.0000 3.4264
Tl 2.8702 1.6593 0.0000
Tl 2.8702 -1.6593 0.0000
Tl 3.7936 0.0000 2.7417
Ag 5.7405 0.0000 0.0000
```

***

Here is a relaxed structure of Tb2Dy7Er3 from the Alexandria database. Energies are from PBE. Values from VASP.

Values from the calculation:
The value obtained for the energy of formation is 113 meV per atom. The crystal system is orthorhombic.

```
&SYSTEM
  ibrav = 0, nat = 12, ntyp = 3
/
ATOMIC_SPECIES
Tb 158.93 Tb.upf
Dy 162.50 Dy.upf
Er 167.26 Er.upf
CELL_PARAMETERS angstrom
2.8246 -18.6872 0.0000
2.8246 18.6872 0.0000
0.0000 0.0000 3.5726
ATOMIC_POSITIONS angstrom
Tb 2.8246 13.1637 0.0000
Tb 2.8246 -13.1637 0.0000
Dy 0.0000 0.0000 0.0000
Dy 2.8246 16.0069 1.7863
Dy 2.8246 10.0503 0.0000
Dy 2.8246 3.4194 0.0000
Dy 2.8246 -3.4194 0.0000
Dy 2.8246 -10.0503 0.0000
Dy 2.8246 -16.0069 1.7863
Er 2.8246 6.9144 1.7863
Er 2.8246 0.0000 1.7863
Er 2.8246 -6.9144 1.7863
```

***

Here is a relaxed structure of Ce2PaZn from the Alexandria database. Energies are from PBE. Values from VASP.

Values from the calculation:
The value obtained for the energy of formation is -42 meV per atom. The crystal system is tetragonal.

```
&SYSTEM
  ibrav = 0, nat = 4, ntyp = 3
/
ATOMIC_SPECIES
Ce 140.12 Ce.upf
Pa 231.04 Pa.upf
Zn 65.41 Zn.upf
CELL_PARAMETERS angstrom
3.3748 0.0000 0.0000
0.0000 3.3748 0.0000
0.0000 0.0000 8.5942
ATOMIC_POSITIONS angstrom
Ce 0.0000 0.0000 2.0152
Ce 0.0000 0.0000 6.5790
Pa 1.6874 1.6874 4.2971
Zn 1.6874 1.6874 0.0000
```

***

Here is a relaxed structure of KTlAg2F6 from the Alexandria database. Energies are from PBE. Values from VASP.

Values from the calculation:
The uncorrected formation energy is -1.712 eV/atom. The crystal system is monoclinic.

```
&SYSTEM
  ibrav = 0, nat = 20, ntyp = 4
/
ATOMIC_SPECIES
K 39.10 K.upf
Tl 204.38 Tl.upf
Ag 107.87 Ag.upf
F 19.00 F.upf
CELL_PARAMETERS angstrom
6.2136 0.0000 0.0000
0.0000 6.4286 0.0000
-6.1007 0.0000 8.9001
ATOMIC_POSITIONS angstrom
K 0.0000 0.0000 0.0000
K -3.0504 3.2143 4.4500
Tl 0.0564 0.0000 4.4500
Tl 3.1068 3.2143 0.0000
Ag -3.0534 0.2592 6.4939
Ag -0.0030 2.9551 2.0438
Ag 0.1159 3.4736 6.8563
Ag 3.1663 6.1694 2.4062
F -1.8684 0.9804 4.1245
F -4.9188 2.2339 8.5745
F -0.8751 4.6541 3.4949
F -3.9255 4.9889 7.9450
F 0.8222 0.7725 2.4967
F -2.2281 2.4418 6.9467
F 2.3410 3.9869 1.9533
F -0.7093 5.6561 6.4034
F 4.0384 1.4397 0.9551
F 0.9880 1.7746 5.4052
F 5.0317 4.1947 0.3256
F 1.9813 5.4482 4.7756
```

***

Here is a relaxed structure of Tl3Fe5 from the Alexandria database. Energies are from PBE. Values from VASP.

Values from the calculation:
The value obtained for the energy of formation is 579 meV per atom. The crystal system is orthorhombic.

```
&SYSTEM
  ibrav = 0, nat = 8, ntyp = 2
/
ATOMIC_SPECIES
Tl 204.38 Tl.upf
Fe 55.84 Fe.upf
CELL_PARAMETERS angstrom
3.9595 -4.1698 0.0000
3.9595 4.1698 0.0000
0.0000 0.0000 3.9319
ATOMIC_POSITIONS angstrom
Tl 0.0000 0.0000 0.0000
Tl 3.9595 1.8886 1.9660
Tl 3.9595 -1.8886 1.9660
Fe 1.9798 2.0849 0.0000
Fe 2.0166 0.0000 1.9660
Fe 1.9798 -2.0849 0.0000
Fe 3.9595 0.0000 0.0000
Fe 5.9025 0.0000 1.9660
```

***

Here is a relaxed structure of Cd2GaBi from the Alexandria database. Energies are from PBE. Values from VASP.

Values from the calculation:
The value obtained for the energy of formation is 101 meV per atom. The crystal system is tetragonal.

```
&SYSTEM
  ibrav = 0, nat = 4, ntyp = 3
/
ATOMIC_SPECIES
Cd 112.41 Cd.upf
Ga 69.72 Ga.upf
Bi 208.98 Bi.upf
CELL_PARAMETERS angstrom
3.7348 0.0000 0.0000
0.0000 3.7348 0.0000
0.0000 0.0000 7.1100
ATOMIC_POSITIONS angstrom
Cd 0.0000 0.0000 1.5559
Cd 0.0000 0.0000 5.5541
Ga 1.8674 1.8674 0.0000
Bi 1.8674 1.8674 3.5550
```

***

Here is a relaxed structure of RbBeB2 from the Alexandria database. Energies are from PBE. Values from VASP.

Values from the calculation:
The value obtained for the energy of formation is 235 meV per atom. The crystal system is triclinic.

```
&SYSTEM
  ibrav = 0, nat = 8, ntyp = 3
/
ATOMIC_SPECIES
Rb 85.47 Rb.upf
Be 9.01 Be.upf
B 10.81 B.upf
CELL_PARAMETERS angstrom
3.5442 0.0000 0.0000
-0.8684 6.6705 0.0000
-1.4205 -1.5008 6.4275
ATOMIC_POSITIONS angstrom
Rb 0.0000 0.0000 0.0000
Rb -0.8627 3.5357 2.4946
Be 0.8000 1.0653 4.5086
Be 1.6491 -0.0563 3.1481
B -0.9393 1.0830 4.5617
B -0.1603 0.0893 3.3500
B -0.0957 2.0754 5.7690
B 1.7340 2.0465 5.7274
```

***

Here is a relaxed structure of RbTa3Se6 from the Alexandria database. Energies are from PBE. Values from VASP.

Values from the calculation:
The uncorrected formation energy is -0.836 eV/atom. The crystal system is monoclinic.

```
&SYSTEM
  ibrav = 0, nat = 20, ntyp = 3
/
ATOMIC_SPECIES
Rb 85.47 Rb.upf
Ta 180.95 Ta.upf
Se 78.96 Se.upf
CELL_PARAMETERS angstrom
13.0920 0.0000 0.0000
0.0000 3.5051 0.0000
-0.6754 0.0000 13.8311
ATOMIC_POSITIONS angstrom
Rb 2.1284 0.8763 5.6104
Rb 10.2881 2.6289 8.2206
Ta -0.0688 2.6289 12.6894
Ta 1.2446 0.8763 10.0181
Ta 5.5038 2.6289 7.8526
Ta 6.9128 0.8763 5.9785
Ta 11.1719 2.6289 3.8129
Ta 12.4854 0.8763 1.1416
Se 0.4059 2.6289 2.8988
Se 0.6890 2.6289 8.2123
Se 1.8493 0.8763 0.3462
Se 2.3981 2.6289 11.5192
Se 3.8025 0.8763 8.7055
Se 5.1048 2.6289 5.2664
Se 7.3117 0.8763 8.5647
Se 8.6141 2.6289 5.1256
Se 10.0185 0.8763 2.3118
Se 10.5673 2.6289 13.4848
Se 11.7275 0.8763 5.6188
Se 12.0107 0.8763 10.9322
```

***

Here is a relaxed structure of MgZnSe2 from the Alexandria database. Energies are from PBE. Values from VASP.

Values from the calculation:
The uncorrected formation energy is -0.811 eV/atom. The crystal system is tetragonal.

```
&SYSTEM
  ibrav = 0, nat = 8, ntyp = 3
/
ATOMIC_SPECIES
Mg 24.30 Mg.upf
Zn 65.41 Zn.upf
Se 78.96 Se.upf
CELL_PARAMETERS angstrom
-2.7262 2.7262 5.4283
2.7262 -2.7262 5.4283
2.7262 2.7262 -5.4283
ATOMIC_POSITIONS angstrom
Mg 2.7262 1.3631 1.3571
Mg 0.0000 1.3631 4.0712
Zn 2.7262 -1.3631 4.0712
Zn 0.0000 4.0893 1.3571
Se 2.7262 1.3631 -1.4183
Se 0.0000 1.3631 1.2958
Se 2.7262 1.3631 4.1325
Se 0.0000 1.3631 6.8466
```

***

Here is a relaxed structure of LiHfTi2P from the Alexandria database. Energies are from PBE. Values from VASP.

Values from the calculation:
The value obtained for the energy of formation is 620 meV per atom. The crystal system is tetragonal.

```
&SYSTEM
  ibrav = 0, nat = 5, ntyp = 4
/
ATOMIC_SPECIES
Li 6.94 Li.upf
Hf 178.49 Hf.upf
Ti 47.87 Ti.upf
P 30.97 P.upf
CELL_PARAMETERS angstrom
4.2761 0.0000 0.0000
0.0000 4.2761 0.0000
0.0000 0.0000 4.5814
ATOMIC_POSITIONS angstrom
Li 0.0000 0.0000 0.0000
Hf 0.0000 0.0000 2.2907
Ti 0.0000 2.1381 0.0000
Ti 2.1381 0.0000 0.0000
P 2.1381 2.1381 2.2907
```

***

Here is a relaxed structure of LiCd2Ir from the Alexandria database. Energies are from PBE. Values from VASP.

Values from the calculation:
The value obtained for the energy of formation is 64 meV per atom. The crystal system is orthorhombic.

```
&SYSTEM
  ibrav = 0, nat = 4, ntyp = 3
/
ATOMIC_SPECIES
Li 6.94 Li.upf
Cd 112.41 Cd.upf
Ir 192.22 Ir.upf
CELL_PARAMETERS angstrom
1.5466 -2.4052 0.0000
1.5466 2.4052 0.0000
0.0000 0.0000 9.4030
ATOMIC_POSITIONS angstrom
Li 0.0000 0.0000 0.0000
Cd 1.5466 0.0000 2.3495
Cd 1.5466 0.0000 7.0535
Ir 0.0000 0.0000 4.7015
```

***

Here is a relaxed structure of Dy2Ga3Cu2 from the Alexandria database. Energies are from PBE. Values from VASP.

Values from the calculation:
The value obtained for the energy of formation is -490 meV per atom. The crystal system is orthorhombic.

```
&SYSTEM
  ibrav = 0, nat = 14, ntyp = 3
/
ATOMIC_SPECIES
Dy 162.50 Dy.upf
Ga 69.72 Ga.upf
Cu 63.55 Cu.upf
CELL_PARAMETERS angstrom
2.1007 -9.0863 0.0000
2.1007 9.0863 0.0000
0.0000 0.0000 6.9303
ATOMIC_POSITIONS angstrom
Dy 2.1007 8.1038 5.1977
Dy 2.1007 6.1852 1.7326
Dy 2.1007 -6.1852 5.1977
Dy 2.1007 -8.1038 1.7326
Ga 2.1007 5.0166 5.1977
Ga 2.1007 1.1370 3.9470
Ga 2.1007 1.1370 6.4484
Ga 2.1007 -1.1370 0.4819
Ga 2.1007 -1.1370 2.9833
Ga 2.1007 -5.0166 1.7326
Cu 2.1007 3.4695 0.4270
Cu 2.1007 3.4695 3.0382
Cu 2.1007 -3.4695 3.8922
Cu 2.1007 -3.4695 6.5033
```

***

Here is a relaxed structure of Dy8Te4As3S from the Alexandria database. Energies are from PBE. Values from VASP.

Values from the calculation:
The uncorrected formation energy is -1.531 eV/atom. The crystal system is trigonal.

```
&SYSTEM
  ibrav = 0, nat = 16, ntyp = 4
/
ATOMIC_SPECIES
Dy 162.50 Dy.upf
Te 127.60 Te.upf
As 74.92 As.upf
S 32.06 S.upf
CELL_PARAMETERS angstrom
4.1604 2.4020 7.0687
-4.1604 2.4020 7.0687
0.0000 -4.8040 7.0687
ATOMIC_POSITIONS angstrom
Dy 0.0000 0.0000 5.0700
Dy -2.0560 -1.1870 12.1084
Dy 0.0000 -2.3740 9.0977
Dy -2.0560 1.1870 9.0977
Dy 2.0560 -1.1870 12.1084
Dy 0.0000 2.3740 12.1084
Dy 2.0560 1.1870 9.0977
Dy 0.0000 0.0000 16.1360
Te 0.0000 0.0000 0.0000
Te -2.0802 -1.2010 7.0687
Te -2.0802 1.2010 14.1373
Te 0.0000 2.4020 7.0687
As -4.1604 0.0000 10.6030
As -2.0802 1.2010 3.5343
As 2.0802 1.2010 3.5343
S 0.0000 0.0000 10.6030
```

***

Here is a relaxed structure of MgCd2Ag from the Alexandria database. Energies are from PBE. Values from VASP.

Values from the calculation:
The value obtained for the energy of formation is -105 meV per atom. The crystal system is orthorhombic.

```
&SYSTEM
  ibrav = 0, nat = 4, ntyp = 3
/
ATOMIC_SPECIES
Mg 24.30 Mg.upf
Cd 112.41 Cd.upf
Ag 107.87 Ag.upf
CELL_PARAMETERS angstrom
3.3326 0.0000 0.0000
0.0000 3.7078 0.0000
0.0000 0.0000 6.5415
ATOMIC_POSITIONS angstrom
Mg 0.0000 0.0000 0.0000
Cd 0.0000 0.0000 3.0741
Cd 1.6663 1.8539 4.8354
Ag 1.6663 1.8539 1.4414
```

***

Here is a relaxed structure of SrScBe2 from the Alexandria database. Energies are from PBE. Values from VASP.

Values from the calculation:
The value obtained for the energy of formation is 451 meV per atom. The crystal system is tetragonal.

```
&SYSTEM
  ibrav = 0, nat = 4, ntyp = 3
/
ATOMIC_SPECIES
Sr 87.62 Sr.upf
Sc 44.96 Sc.upf
Be 9.01 Be.upf
CELL_PARAMETERS angstrom
3.1220 0.0000 0.0000
0.0000 3.1220 0.0000
0.0000 0.0000 8.2296
ATOMIC_POSITIONS angstrom
Sr 0.0000 0.0000 0.0000
Sc 1.5610 1.5610 5.0353
Be 0.0000 0.0000 3.2654
Be 1.5610 1.5610 2.3734
```

***

Here is a relaxed structure of TiV2B2Ru5 from the Alexandria database. Energies are from PBE. Values from VASP.

Values from the calculation:
The value obtained for the energy of formation is -418 meV per atom. The crystal system is tetragonal.

```
&SYSTEM
  ibrav = 0, nat = 20, ntyp = 4
/
ATOMIC_SPECIES
Ti 47.87 Ti.upf
V 50.94 V.upf
B 10.81 B.upf
Ru 101.07 Ru.upf
CELL_PARAMETERS angstrom
9.2194 0.0000 0.0000
0.0000 9.2194 0.0000
0.0000 0.0000 2.9510
ATOMIC_POSITIONS angstrom
Ti 0.0000 0.0000 0.0000
Ti 4.6097 4.6097 0.0000
V 1.6293 2.9804 0.0000
V 2.9804 7.5901 0.0000
V 6.2390 1.6293 0.0000
V 7.5901 6.2390 0.0000
B 1.1440 5.7537 0.0000
B 3.4657 1.1440 0.0000
B 5.7537 8.0754 0.0000
B 8.0754 3.4657 0.0000
Ru 0.0000 4.6097 1.4755
Ru 0.6807 7.2454 1.4755
Ru 1.9739 0.6807 1.4755
Ru 2.6357 5.2904 1.4755
Ru 3.9290 2.6357 1.4755
Ru 4.6097 0.0000 1.4755
Ru 5.2904 6.5836 1.4755
Ru 6.5836 3.9290 1.4755
Ru 7.2454 8.5387 1.4755
Ru 8.5387 1.9739 1.4755
```

***

Here is a relaxed structure of Sc5CdGa4 from the Alexandria database. Energies are from PBE. Values from VASP.

Values from the calculation:
The value obtained for the energy of formation is -537 meV per atom. The crystal system is tetragonal.

```
&SYSTEM
  ibrav = 0, nat = 10, ntyp = 3
/
ATOMIC_SPECIES
Sc 44.96 Sc.upf
Cd 112.41 Cd.upf
Ga 69.72 Ga.upf
CELL_PARAMETERS angstrom
3.3583 0.0000 0.0000
0.0000 3.3583 0.0000
0.0000 0.0000 17.3079
ATOMIC_POSITIONS angstrom
Sc 0.0000 0.0000 0.0000
Sc 0.0000 0.0000 3.3492
Sc 0.0000 0.0000 6.7051
Sc 0.0000 0.0000 10.6028
Sc 0.0000 0.0000 13.9587
Cd 1.6792 1.6792 8.6539
Ga 1.6792 1.6792 1.6780
Ga 1.6792 1.6792 5.0629
Ga 1.6792 1.6792 12.2450
Ga 1.6792 1.6792 15.6299
```

***

Here is a relaxed structure of HoErRuAu from the Alexandria database. Energies are from PBE. Values from VASP.

Values from the calculation:
The value obtained for the energy of formation is -614 meV per atom. The crystal system is cubic.

```
&SYSTEM
  ibrav = 0, nat = 4, ntyp = 4
/
ATOMIC_SPECIES
Ho 164.93 Ho.upf
Er 167.26 Er.upf
Ru 101.07 Ru.upf
Au 196.97 Au.upf
CELL_PARAMETERS angstrom
0.0000 3.4763 3.4763
3.4763 0.0000 3.4763
3.4763 3.4763 0.0000
ATOMIC_POSITIONS angstrom
Ho 0.0000 0.0000 0.0000
Er 3.4763 3.4763 3.4763
Ru 5.2145 5.2145 5.2145
Au 1.7382 1.7382 1.7382
```

***

Which energy belongs to each record? In order, -0.183, -0.040, -0.073, -0.165, -0.210, -0.138, -0.206, -0.077, -0.157, -0.242, -0.120, -0.220, -0.113, -0.157, -0.211, -0.062, -0.125, -0.331, -0.184, -0.222 Ha/atom.